Record 1
# Tb2InTe

An optimized crystal structure of Tb2InTe (PBE, Alexandria via LeMat-Bulk).

Geometry as POSCAR:
```
Tb2InTe
1.0
4.310 0.000 0.000
0.000 4.444 -0.789
0.000 -0.135 12.145
Te Tb In
2 4 2
Direct
0.750 0.807 0.613 Te
0.250 0.193 0.387 Te
0.250 0.065 0.129 Tb
0.250 0.325 0.649 Tb
0.750 0.935 0.871 Tb
0.750 0.675 0.351 Tb
0.250 0.457 0.914 In
0.750 0.543 0.086 In
```

Output
final energy	-37.72	eV/cell
energy above the most stable polymorph in this dataset	0.000	eV/atom
E_form (uncorrected)	-0.93	eV per atom
calculated volume	232.1	Å³ per cell


Record 2
# Ba2Ca3Sn4

An optimized crystal structure of Ba2Ca3Sn4 (PBE, Alexandria via LeMat-Bulk).

Geometry as POSCAR:
```
Ba2Ca3Sn4
1.0
7.386 0.000 0.000
0.000 8.885 0.000
-3.693 0.000 9.693
Sn Ba Ca
8 4 6
Direct
0.669 0.525 0.338 Sn
0.319 0.250 0.139 Sn
0.681 0.750 0.861 Sn
0.331 0.475 0.662 Sn
0.831 0.025 0.662 Sn
0.181 0.750 0.861 Sn
0.169 0.975 0.338 Sn
0.819 0.250 0.139 Sn
0.099 0.591 0.197 Ba
0.599 0.909 0.197 Ba
0.901 0.409 0.803 Ba
0.401 0.091 0.803 Ba
0.983 0.250 0.465 Ca
0.500 0.500 0.000 Ca
0.000 0.000 0.000 Ca
0.517 0.750 0.535 Ca
0.017 0.750 0.535 Ca
0.483 0.250 0.465 Ca
```

Output
energy of formation from the pure elements	-502	meV/atom
final energy	-60.75	eV/cell
energy above the most stable polymorph in this dataset	0.162	eV/atom
calculated volume	636.2	Å³ per cell


Record 3
# Ca3FeSe

An optimized crystal structure of Ca3FeSe (PBE, Alexandria via LeMat-Bulk).

Geometry as POSCAR:
```
Ca3FeSe
1.0
5.522 0.000 0.000
0.000 5.522 0.000
0.000 0.000 5.522
Ca Se Fe
3 1 1
Direct
0.500 0.000 0.000 Ca
0.000 0.500 0.000 Ca
0.000 0.000 0.500 Ca
0.000 0.000 0.000 Se
0.500 0.500 0.500 Fe
```

Output
final energy	-18.42	eV/cell
energy above the most stable polymorph in this dataset	0.000	eV/atom
E_form (uncorrected)	-0.09	eV per atom
calculated volume	168.4	Å³ per cell


Record 4
# CsI7Br12

An optimized crystal structure of CsI7Br12 (PBE, Alexandria via LeMat-Bulk).

Geometry as POSCAR:
```
CsI7Br12
1.0
9.056 3.902 -0.964
0.920 10.841 -0.718
1.296 2.957 10.476
Br I Cs
12 7 1
Direct
0.597 0.235 0.860 Br
0.242 0.458 0.529 Br
0.403 0.765 0.140 Br
0.211 0.513 0.058 Br
0.224 0.061 0.717 Br
0.347 0.746 0.595 Br
0.653 0.254 0.405 Br
0.789 0.487 0.942 Br
0.776 0.939 0.283 Br
0.758 0.542 0.471 Br
0.212 0.118 0.184 Br
0.788 0.882 0.816 Br
0.590 0.834 0.978 I
0.724 0.374 0.159 I
0.500 0.500 0.500 I
0.276 0.626 0.841 I
0.410 0.166 0.022 I
0.997 0.288 0.602 I
0.003 0.712 0.398 I
0.000 0.000 0.000 Cs
```

Output
final energy	-35.88	eV/cell
E_form (uncorrected)	-0.21	eV per atom
calculated volume	1017.5	Å³ per cell


Record 5
# NaHgPS2

An optimized crystal structure of NaHgPS2 (PBE, Alexandria via LeMat-Bulk).

Geometry as POSCAR:
```
NaHgPS2
1.0
4.948 0.000 0.000
0.000 4.948 0.000
0.000 0.000 5.119
S Na P Hg
2 1 1 1
Direct
0.500 0.000 0.000 S
0.000 0.500 0.000 S
0.000 0.000 0.000 Na
0.000 0.000 0.500 P
0.500 0.500 0.500 Hg
```

Output
final energy	-10.07	eV/cell
energy above the most stable polymorph in this dataset	0.501	eV/atom
E_form (uncorrected)	1.04	eV per atom
calculated volume	125.3	Å³ per cell


Record 6
# LiLaTlPb

An optimized crystal structure of LiLaTlPb (PBE, Alexandria via LeMat-Bulk).

Geometry as POSCAR:
```
LiLaTlPb
1.0
4.625 0.000 0.000
0.000 4.828 0.000
0.000 0.000 5.004
Tl Li La Pb
1 1 1 1
Direct
0.500 0.500 0.000 Tl
0.000 0.000 0.000 Li
0.000 0.500 0.500 La
0.500 0.000 0.500 Pb
```

Output
energy of formation from the pure elements	-387	meV/atom
final energy	-14.46	eV/cell
energy above the most stable polymorph in this dataset	0.000	eV/atom
calculated volume	111.7	Å³ per cell


Record 7
# RbMgPb5

An optimized crystal structure of RbMgPb5 (PBE, Alexandria via LeMat-Bulk).

Geometry as POSCAR:
```
RbMgPb5
1.0
-3.418 -1.566 -2.832
2.890 0.377 -3.696
3.529 -10.715 1.667
Mg Pb Rb
1 5 1
Direct
0.500 0.500 0.000 Mg
0.500 0.000 0.220 Pb
0.500 0.000 0.780 Pb
0.000 0.000 0.000 Pb
0.000 0.500 0.780 Pb
0.000 0.500 0.220 Pb
0.000 0.000 0.500 Rb
```

Output
energy of formation from the pure elements	-19	meV/atom
final energy	-21.23	eV/cell
calculated volume	252.7	Å³ per cell


Record 8
# PmLuGa

An optimized crystal structure of PmLuGa (PBE, Alexandria via LeMat-Bulk).

Geometry as POSCAR:
```
PmLuGa
1.0
-0.725 1.488 3.331
-4.395 -2.331 0.084
4.034 -2.229 1.874
Ga Pm Lu
1 1 1
Direct
0.244 0.333 0.667 Ga
0.641 0.667 0.333 Pm
0.115 0.000 0.000 Lu
```

Output
energy of formation from the pure elements	-278	meV/atom
final energy	-13.13	eV/cell
energy above the most stable polymorph in this dataset	0.080	eV/atom
calculated volume	79.7	Å³ per cell


Record 9
# CuBC3

An optimized crystal structure of CuBC3 (PBE, Alexandria via LeMat-Bulk).

Geometry as POSCAR:
```
CuBC3
1.0
-0.440 0.185 -3.771
3.320 -1.789 -0.475
-1.798 -3.349 0.045
C Cu B
3 1 1
Direct
0.000 0.500 0.000 C
0.500 0.000 0.000 C
0.000 0.000 0.500 C
0.000 0.000 0.000 Cu
0.500 0.500 0.500 B
```

Output
energy of formation from the pure elements	3513	meV/atom
final energy	-20.88	eV/cell
energy above the most stable polymorph in this dataset	1.129	eV/atom
calculated volume	54.9	Å³ per cell


Record 10
# ZnCu5Pd4

An optimized crystal structure of ZnCu5Pd4 (PBE, Alexandria via LeMat-Bulk).

Geometry as POSCAR:
```
ZnCu5Pd4
1.0
4.011 0.000 -0.972
-0.558 5.471 -2.302
-0.400 -0.387 7.111
Zn Cu Pd
1 5 4
Direct
0.500 0.000 0.000 Zn
0.182 0.231 0.364 Cu
0.500 0.500 0.000 Cu
0.828 0.367 0.655 Cu
0.172 0.633 0.345 Cu
0.818 0.769 0.636 Cu
0.672 0.926 0.343 Pd
0.989 0.234 0.977 Pd
0.328 0.074 0.657 Pd
0.011 0.766 0.023 Pd
```

Output
energy of formation from the pure elements	-17	meV/atom
final energy	-42.69	eV/cell
calculated volume	150.1	Å³ per cell


Record 11
# Pu6Pa12Os

An optimized crystal structure of Pu6Pa12Os (PBE, Alexandria via LeMat-Bulk).

Geometry as POSCAR:
```
Pu6Pa12Os
1.0
7.821 0.084 0.101
-1.102 7.743 0.101
-1.102 -1.284 7.636
Pa Pu Os
12 6 1
Direct
0.924 0.318 0.145 Pa
0.440 0.800 0.621 Pa
0.800 0.621 0.440 Pa
0.855 0.076 0.682 Pa
0.145 0.924 0.318 Pa
0.560 0.200 0.379 Pa
0.200 0.379 0.560 Pa
0.682 0.855 0.076 Pa
0.621 0.440 0.800 Pa
0.076 0.682 0.855 Pa
0.379 0.560 0.200 Pa
0.318 0.145 0.924 Pa
0.343 0.104 0.586 Pu
0.414 0.657 0.896 Pu
0.104 0.586 0.343 Pu
0.657 0.896 0.414 Pu
0.586 0.343 0.104 Pu
0.896 0.414 0.657 Pu
0.000 0.000 0.000 Os
```

Output
energy of formation from the pure elements	350	meV/atom
final energy	-204.52	eV/cell
calculated volume	465.1	Å³ per cell


Record 12
# CaInNi2

An optimized crystal structure of CaInNi2 (PBE, Alexandria via LeMat-Bulk).

Geometry as POSCAR:
```
CaInNi2
1.0
2.209 -5.489 0.000
2.209 5.489 0.000
0.000 0.000 6.070
Ca Ni In
2 4 2
Direct
0.576 0.424 0.250 Ca
0.424 0.576 0.750 Ca
0.103 0.897 0.940 Ni
0.897 0.103 0.440 Ni
0.897 0.103 0.060 Ni
0.103 0.897 0.560 Ni
0.284 0.716 0.250 In
0.716 0.284 0.750 In
```

Output
energy of formation from the pure elements	-175	meV/atom
final energy	-34.01	eV/cell
calculated volume	147.2	Å³ per cell


Record 13
# SrTl2Pb3

An optimized crystal structure of SrTl2Pb3 (PBE, Alexandria via LeMat-Bulk).

Geometry as POSCAR:
```
SrTl2Pb3
1.0
6.494 -1.131 0.353
-1.902 6.311 0.353
-0.515 -0.581 9.777
Pb Tl Sr
6 4 2
Direct
0.608 0.392 0.750 Pb
0.569 0.799 0.932 Pb
0.201 0.431 0.568 Pb
0.392 0.608 0.250 Pb
0.799 0.569 0.432 Pb
0.431 0.201 0.068 Pb
0.680 0.952 0.599 Tl
0.320 0.048 0.401 Tl
0.952 0.680 0.099 Tl
0.048 0.320 0.901 Tl
0.872 0.128 0.250 Sr
0.128 0.872 0.750 Sr
```

Output
energy of formation from the pure elements	-184	meV/atom
final energy	-37.29	eV/cell
calculated volume	382.7	Å³ per cell


Record 14
# Y2TaGe

An optimized crystal structure of Y2TaGe (PBE, Alexandria via LeMat-Bulk).

Geometry as POSCAR:
```
Y2TaGe
1.0
8.216 0.000 0.000
0.000 8.216 0.000
4.108 4.108 2.866
Ta Ge Y
2 2 4
Direct
0.750 0.250 0.500 Ta
0.000 0.000 0.000 Ta
0.500 0.500 0.000 Ge
0.250 0.750 0.500 Ge
0.155 0.625 0.250 Y
0.375 0.405 0.750 Y
0.875 0.845 0.750 Y
0.595 0.125 0.250 Y
```

Output
energy of formation from the pure elements	376	meV/atom
final energy	-55.79	eV/cell
calculated volume	193.5	Å³ per cell


Record 15
# Nd2Dy2Pt3

An optimized crystal structure of Nd2Dy2Pt3 (PBE, Alexandria via LeMat-Bulk).

Geometry as POSCAR:
```
Nd2Dy2Pt3
1.0
7.250 0.000 -2.563
-3.625 6.279 -2.563
0.000 0.000 7.690
Pt Dy Nd
6 4 4
Direct
0.885 0.250 0.635 Pt
0.750 0.635 0.385 Pt
0.615 0.750 0.865 Pt
0.135 0.385 0.250 Pt
0.250 0.865 0.115 Pt
0.365 0.115 0.750 Pt
0.000 0.000 0.878 Dy
0.500 0.878 0.500 Dy
0.122 0.622 0.622 Dy
0.378 0.500 0.000 Dy
0.626 0.126 0.126 Nd
0.874 0.500 0.000 Nd
0.500 0.374 0.500 Nd
0.000 0.000 0.374 Nd
```

Output
energy of formation from the pure elements	-1032	meV/atom
final energy	-88.17	eV/cell
calculated volume	350.1	Å³ per cell


Record 16
# DyZrCuRe

An optimized crystal structure of DyZrCuRe (PBE, Alexandria via LeMat-Bulk).

Geometry as POSCAR:
```
DyZrCuRe
1.0
4.756 0.000 0.000
2.378 4.119 0.000
2.378 1.373 3.883
Zr Dy Re Cu
1 1 1 1
Direct
0.500 0.500 0.500 Zr
0.000 0.000 0.000 Dy
0.250 0.250 0.250 Re
0.750 0.750 0.750 Cu
```

Output
energy of formation from the pure elements	-80	meV/atom
final energy	-30.01	eV/cell
calculated volume	76.1	Å³ per cell


Record 17
# CsSb2Te2

An optimized crystal structure of CsSb2Te2 (PBE, Alexandria via LeMat-Bulk).

Geometry as POSCAR:
```
CsSb2Te2
1.0
-4.949 -5.536 4.853
4.509 -5.132 -5.658
4.563 4.227 4.269
Te Cs Sb
4 2 4
Direct
0.395 0.105 0.250 Te
0.805 0.695 0.250 Te
0.195 0.305 0.750 Te
0.605 0.895 0.750 Te
0.879 0.621 0.750 Cs
0.121 0.379 0.250 Cs
0.743 0.016 0.483 Sb
0.484 0.757 0.017 Sb
0.516 0.243 0.983 Sb
0.257 0.984 0.517 Sb
```

Output
final energy	-32.94	eV/cell
energy above the most stable polymorph in this dataset	0.017	eV/atom
E_form (uncorrected)	-0.22	eV per atom
calculated volume	445.7	Å³ per cell


Record 18
# Ta2HgH

An optimized crystal structure of Ta2HgH (PBE, Alexandria via LeMat-Bulk).

Geometry as POSCAR:
```
Ta2HgH
1.0
3.053 -1.979 2.678
1.108 1.895 3.948
-1.303 -1.925 3.874
Ta H Hg
2 1 1
Direct
0.250 0.250 0.250 Ta
0.750 0.750 0.750 Ta
0.000 0.000 0.000 H
0.500 0.500 0.500 Hg
```

Output
final energy	-23.58	eV/cell
energy above the most stable polymorph in this dataset	0.368	eV/atom
calculated volume	65.2	Å³ per cell


Record 19
# BeAlReMo

An optimized crystal structure of BeAlReMo (PBE, Alexandria via LeMat-Bulk).

Geometry as POSCAR:
```
BeAlReMo
1.0
-2.752 3.258 -0.075
-3.586 -0.290 -2.291
-3.767 -0.345 1.970
Re Be Mo Al
1 1 1 1
Direct
0.750 0.750 0.750 Re
0.250 0.250 0.250 Be
0.000 0.000 0.000 Mo
0.500 0.500 0.500 Al
```

Output
energy of formation from the pure elements	-135	meV/atom
final energy	-31.29	eV/cell
calculated volume	54.9	Å³ per cell


Record 20
# Tb4Ho3Sc

An optimized crystal structure of Tb4Ho3Sc (PBE, Alexandria via LeMat-Bulk).

Geometry as POSCAR:
```
Tb4Ho3Sc
1.0
-2.185 -5.479 1.932
4.934 -0.129 5.215
-7.079 5.231 6.827
Tb Ho Sc
8 6 2
Direct
0.484 0.872 0.254 Tb
0.152 0.872 0.000 Tb
0.984 0.128 0.246 Tb
0.644 0.127 0.000 Tb
0.484 0.872 0.746 Tb
0.652 0.128 0.500 Tb
0.144 0.873 0.500 Tb
0.984 0.128 0.754 Tb
0.147 0.377 0.500 Ho
0.647 0.623 0.000 Ho
0.979 0.622 0.751 Ho
0.979 0.622 0.249 Ho
0.479 0.378 0.749 Ho
0.479 0.378 0.251 Ho
0.147 0.378 0.000 Sc
0.647 0.622 0.500 Sc
```

Output
energy of formation from the pure elements	18	meV/atom
final energy	-76.88	eV/cell
energy above the most stable polymorph in this dataset	0.000	eV/atom
calculated volume	496.4	Å³ per cell